[1]
The following is a PBE-GGA calculation of a relaxed structure of ScIn2Cl5, from Alexandria.

Output
- Total magnetic moment: 0.00 μB/f.u.
- ΔE_f (raw): -1.47 eV/atom
- Crystal system: monoclinic
- Volume: 485.6 Å³/cell

Lattice parameters (Å, degrees): 8.9371 8.9371 9.6817 119.73 119.73 48.44
Fractional positions:
Sc 0.0000 0.0000 0.0000
Sc 0.0000 0.0000 0.5000
In 0.3254 0.3615 0.5050
In 0.3615 0.3254 0.0050
In 0.6385 0.6746 0.9950
In 0.6746 0.6385 0.4950
Cl 0.0715 0.2739 0.6291
Cl 0.1298 0.8702 0.2500
Cl 0.2480 0.6431 0.8678
Cl 0.2739 0.0715 0.1291
Cl 0.3569 0.7520 0.6322
Cl 0.6431 0.2480 0.3678
Cl 0.7261 0.9285 0.8709
Cl 0.7520 0.3569 0.1322
Cl 0.8702 0.1298 0.7500
Cl 0.9285 0.7261 0.3709

[2]
The following is a PBE-GGA calculation of a relaxed structure of ScIn2Cl, from Alexandria.

Output
- Total magnetic moment: 0.00 μB/f.u.
- ΔE_f (raw): -0.28 eV/atom
- Crystal system: orthorhombic
- Volume: 97.2 Å³/cell
- Energy relative to the lowest polymorph listed for this composition: 173 kJ/mol of formula units

Lattice parameters (Å, degrees): 3.3694 3.3694 9.2790 90.00 90.00 112.72
Fractional positions:
Sc 0.0000 0.0000 0.0000
In 0.5000 0.5000 0.2519
In 0.5000 0.5000 0.7481
Cl 0.0000 0.0000 0.5000

[3]
The following is a PBE-GGA calculation of a relaxed structure of ScIn2Cl, from Alexandria.

Output
- Total magnetic moment: 0.49 μB/f.u.
- ΔE_f (raw): -0.73 eV/atom
- Crystal system: trigonal
- Volume: 107.0 Å³/cell
- Energy relative to the lowest polymorph listed for this composition: 0 kJ/mol of formula units

Lattice parameters (Å, degrees): 10.5417 10.5417 10.5417 18.87 18.87 18.87
Fractional positions:
Sc 0.0000 0.0000 0.0000
In 0.2580 0.2580 0.2580
In 0.5075 0.5075 0.5075
Cl 0.7188 0.7188 0.7188

[4]
The following is a PBE-GGA calculation of a relaxed structure of ScIn5Cl8, from Alexandria.

Output
- Total magnetic moment: 0.00 μB/f.u.
- ΔE_f (raw): -1.12 eV/atom
- Crystal system: tetragonal
- Volume: 578.2 Å³/cell

Lattice parameters (Å, degrees): 9.1453 9.1453 9.1453 105.24 105.24 118.30
Fractional positions:
Sc 0.0000 0.0000 0.0000
In 0.1698 0.1749 0.5598
In 0.2500 0.7500 0.5000
In 0.3900 0.8302 0.0050
In 0.6150 0.6100 0.4402
In 0.8251 0.3850 0.9950
Cl 0.3081 0.1650 0.2146
Cl 0.3480 0.5666 0.7124
Cl 0.3644 0.6520 0.2186
Cl 0.4334 0.1458 0.7814
Cl 0.8350 0.0496 0.1430
Cl 0.8542 0.6356 0.2876
Cl 0.9065 0.6919 0.8570
Cl 0.9504 0.0935 0.7854

[5]
The following is a PBE-GGA calculation of a relaxed structure of ScIn2Cl, from Alexandria.

Output
- Total magnetic moment: 0.00 μB/f.u.
- ΔE_f (raw): -0.41 eV/atom
- Crystal system: tetragonal
- Volume: 96.7 Å³/cell
- Energy relative to the lowest polymorph listed for this composition: 123 kJ/mol of formula units

Lattice parameters (Å, degrees): 5.3876 5.3876 3.3326 90.00 90.00 90.00
Fractional positions:
Sc 0.0000 0.0000 0.0000
In 0.0000 0.5000 0.5000
In 0.5000 0.0000 0.5000
Cl 0.5000 0.5000 0.0000

[6]
The following is a PBE-GGA calculation of a relaxed structure of ScInCl, from Alexandria.

Output
- Total magnetic moment: 1.08 μB/f.u.
- ΔE_f (raw): 0.15 eV/atom
- Crystal system: cubic
- Volume: 92.2 Å³/cell
- Energy relative to the lowest polymorph listed for this composition: 309 kJ/mol of formula units

Lattice parameters (Å, degrees): 5.0700 5.0700 5.0700 60.00 60.00 60.00
Fractional positions:
Sc 0.0000 0.0000 0.0000
In 0.7500 0.7500 0.7500
Cl 0.5000 0.5000 0.5000